No. 1
Computed, not measured: a crystal of NaCuIO2 relaxed with PBEsol at the SCAN level of DFT.

Calculated values
Final energy (Ry/atom): -1.02760
Size of the total moment (μB per cell): 1.781
Energy relative to the elements, uncorrected (meV per atom): -257

Unit cell a=3.951 b=3.951 c=5.331 alpha=90.00 beta=90.00 gamma=90.00
Space group P4/mmm (No. 123)
One atom of each set of equivalent atoms:
Na 0.000 0.000 0.000
Cu 0.500 0.500 0.500
I 0.500 0.500 0.000
O 0.000 0.500 0.500

---

No. 2
Computed, not measured: a crystal of RbNa2CuI relaxed with PBEsol at the SCAN level of DFT.

Calculated values
Final energy (Ry/atom): -1.15268
Size of the total moment (μB per cell): 0.001
Energy relative to the elements, uncorrected (meV per atom): 539

Unit cell a=6.763 b=6.763 c=6.244 alpha=90.00 beta=90.00 gamma=90.00
Space group P4/mmm (No. 123)
One atom of each set of equivalent atoms:
Rb 0.000 0.000 0.000
Na 0.000 0.500 0.000
Cu 0.500 0.500 0.500
I 0.000 0.000 0.500

---

No. 3
Computed, not measured: a crystal of NaSr2CuI relaxed with PBEsol at the SCAN level of DFT.

Calculated values
Final energy (Ry/atom): -1.50032
Size of the total moment (μB per cell): 0.000
Energy relative to the elements, uncorrected (meV per atom): -272

Unit cell a=5.878 b=5.878 c=5.321 alpha=90.00 beta=90.00 gamma=90.00
Space group P4/mmm (No. 123)
One atom of each set of equivalent atoms:
Na 0.000 0.000 0.000
Sr 0.000 0.500 0.500
Cu 0.000 0.000 0.500
I 0.500 0.500 0.000

---

No. 4
Computed, not measured: a crystal of Nb3CuI relaxed with PBEsol at the SCAN level of DFT.

Calculated values
Final energy (Ry/atom): -2.07725
Size of the total moment (μB per cell): 2.876
Energy relative to the elements, uncorrected (meV per atom): 2004

Unit cell a=4.944 b=4.944 c=4.944 alpha=90.00 beta=90.00 gamma=90.00
Space group Pm-3m (No. 221)
One atom of each set of equivalent atoms:
Nb 0.000 0.000 0.500
Cu 0.500 0.500 0.500
I 0.000 0.000 0.000

---

No. 5
Computed, not measured: a crystal of Nb2CuNiI relaxed with PBEsol at the SCAN level of DFT.

Calculated values
Final energy (Ry/atom): -1.87773
Size of the total moment (μB per cell): 0.008
Energy relative to the elements, uncorrected (meV per atom): 1327

Unit cell a=4.586 b=4.586 c=4.956 alpha=90.00 beta=90.00 gamma=90.00
Space group P4/mmm (No. 123)
One atom of each set of equivalent atoms:
Nb 0.000 0.500 0.000
Cu 0.000 0.000 0.500
Ni 0.500 0.500 0.000
I 0.500 0.500 0.500

---

No. 6
Computed, not measured: a crystal of NbCuIO2 relaxed with PBEsol at the SCAN level of DFT.

Calculated values
Final energy (Ry/atom): -1.51565
Size of the total moment (μB per cell): 0.730
Energy relative to the elements, uncorrected (meV per atom): -1115

Unit cell a=3.897 b=3.897 c=5.947 alpha=90.00 beta=90.00 gamma=90.00
Space group P4/mmm (No. 123)
One atom of each set of equivalent atoms:
Nb 0.000 0.000 0.000
Cu 0.500 0.500 0.500
I 0.000 0.000 0.500
O 0.000 0.500 0.000

---

No. 7
Computed, not measured: a crystal of NbCuOsI2 relaxed with PBEsol at the SCAN level of DFT.

Calculated values
Final energy (Ry/atom): -2.70853
Size of the total moment (μB per cell): 3.673
Energy relative to the elements, uncorrected (meV per atom): 1887

Unit cell a=5.310 b=5.310 c=4.782 alpha=90.00 beta=90.00 gamma=90.00
Space group P4/mmm (No. 123)
One atom of each set of equivalent atoms:
Nb 0.000 0.000 0.000
Cu 0.000 0.000 0.500
Os 0.500 0.500 0.500
I 0.000 0.500 0.000

---

No. 8
Computed, not measured: a crystal of Nb2CuPbI relaxed with PBEsol at the SCAN level of DFT.

Calculated values
Final energy (Ry/atom): -2.70796
Size of the total moment (μB per cell): 2.733
Energy relative to the elements, uncorrected (meV per atom): 1953

Unit cell a=4.987 b=4.987 c=5.818 alpha=90.00 beta=90.00 gamma=90.00
Space group P4/mmm (No. 123)
One atom of each set of equivalent atoms:
Nb 0.000 0.500 0.000
Cu 0.000 0.000 0.500
Pb 0.500 0.500 0.500
I 0.500 0.500 0.000

---

No. 9
Computed, not measured: a crystal of NbCuRh2I relaxed with PBEsol at the SCAN level of DFT.

Calculated values
Final energy (Ry/atom): -2.14624
Size of the total moment (μB per cell): 2.560
Energy relative to the elements, uncorrected (meV per atom): 1322

Unit cell a=4.753 b=4.753 c=4.546 alpha=90.00 beta=90.00 gamma=90.00
Space group P4/mmm (No. 123)
One atom of each set of equivalent atoms:
Nb 0.000 0.000 0.000
Cu 0.500 0.500 0.000
Rh 0.000 0.500 0.500
I 0.500 0.500 0.500

---

No. 10
Computed, not measured: a crystal of Rb2NdCuI6 relaxed with PBEsol at the SCAN level of DFT.

Calculated values
Final energy (Ry/atom): -2.44820
Size of the total moment (μB per cell): 0.000
Energy relative to the elements, uncorrected (meV per atom): -1238

Unit cell a=11.705 b=11.705 c=11.705 alpha=90.00 beta=90.00 gamma=90.00
Space group Fm-3m (No. 225)
One atom of each set of equivalent atoms:
Rb 0.250 0.250 0.250
Nd 0.000 0.000 0.000
Cu 0.000 0.000 0.500
I 0.000 0.000 0.261

---

No. 11
Computed, not measured: a crystal of CuI2O6 relaxed with PBEsol at the SCAN level of DFT.

Calculated values
Final energy (Ry/atom): -1.06350
Size of the total moment (μB per cell): 2.031
Energy relative to the elements, uncorrected (meV per atom): -462

Unit cell a=5.534 b=4.936 c=9.194 alpha=90.00 beta=96.94 gamma=90.00
Space group P2_1 (No. 4)
One atom of each set of equivalent atoms:
Cu 0.217 0.000 0.246
I 0.260 0.933 0.902
I 0.265 0.418 0.569
O 0.018 0.202 0.617
O 0.098 0.679 0.772
O 0.133 0.801 0.065
O 0.356 0.199 0.418
O 0.448 0.255 0.083
O 0.497 0.269 0.711

---

No. 12
Computed, not measured: a crystal of Cu3IO relaxed with PBEsol at the SCAN level of DFT.

Calculated values
Final energy (Ry/atom): -1.20333
Size of the total moment (μB per cell): 0.042
Energy relative to the elements, uncorrected (meV per atom): 1342
Distance to the lowest polymorph of the same formula (kJ/mol of formula units): 636

Unit cell a=4.702 b=4.702 c=4.702 alpha=90.00 beta=90.00 gamma=90.00
Space group Pm-3m (No. 221)
One atom of each set of equivalent atoms:
Cu 0.000 0.000 0.500
I 0.000 0.000 0.000
O 0.500 0.500 0.500

---

No. 13
Computed, not measured: a crystal of CuI2O6 relaxed with PBEsol at the SCAN level of DFT.

Calculated values
Final energy (Ry/atom): -1.06364
Size of the total moment (μB per cell): 2.003
Energy relative to the elements, uncorrected (meV per atom): -464

Unit cell a=4.951 b=6.115 c=8.125 alpha=90.00 beta=91.75 gamma=90.00
Space group P2_1/m (No. 11)
One atom of each set of equivalent atoms:
Cu 0.000 0.000 0.000
I 0.018 0.250 0.655
I 0.468 0.250 0.271
O 0.144 0.250 0.881
O 0.233 0.025 0.196
O 0.249 0.029 0.593
O 0.306 0.750 0.898

---

No. 14
Computed, not measured: a crystal of Cu3IO relaxed with PBEsol at the SCAN level of DFT.

Calculated values
Final energy (Ry/atom): -1.30021
Size of the total moment (μB per cell): 0.000
Energy relative to the elements, uncorrected (meV per atom): 24
Distance to the lowest polymorph of the same formula (kJ/mol of formula units): 0

Unit cell a=4.139 b=4.139 c=4.139 alpha=90.00 beta=90.00 gamma=90.00
Space group Pm-3m (No. 221)
One atom of each set of equivalent atoms:
Cu 0.000 0.000 0.500
I 0.500 0.500 0.500
O 0.000 0.000 0.000

---

No. 15
Computed, not measured: a crystal of CuI3O relaxed with PBEsol at the SCAN level of DFT.

Calculated values
Final energy (Ry/atom): -1.88173
Size of the total moment (μB per cell): 0.000
Energy relative to the elements, uncorrected (meV per atom): 729

Unit cell a=4.952 b=4.952 c=4.952 alpha=90.00 beta=90.00 gamma=90.00
Space group Pm-3m (No. 221)
One atom of each set of equivalent atoms:
Cu 0.000 0.000 0.000
I 0.000 0.500 0.500
O 0.500 0.500 0.500

---

No. 16
Computed, not measured: a crystal of CuPIO2 relaxed with PBEsol at the SCAN level of DFT.

Calculated values
Final energy (Ry/atom): -1.06462
Size of the total moment (μB per cell): 2.413
Energy relative to the elements, uncorrected (meV per atom): 475

Unit cell a=3.736 b=3.736 c=5.982 alpha=90.00 beta=90.00 gamma=90.00
Space group P4/mmm (No. 123)
One atom of each set of equivalent atoms:
Cu 0.000 0.000 0.000
P 0.500 0.500 0.500
I 0.000 0.000 0.500
O 0.000 0.500 0.000

---

No. 17
Computed, not measured: a crystal of RbCuIO2 relaxed with PBEsol at the SCAN level of DFT.

Calculated values
Final energy (Ry/atom): -1.25696
Size of the total moment (μB per cell): 2.482
Energy relative to the elements, uncorrected (meV per atom): -73

Unit cell a=4.371 b=4.371 c=5.060 alpha=90.00 beta=90.00 gamma=90.00
Space group P4/mmm (No. 123)
One atom of each set of equivalent atoms:
Rb 0.000 0.000 0.000
Cu 0.500 0.500 0.500
I 0.500 0.500 0.000
O 0.000 0.500 0.500

---

No. 18
Computed, not measured: a crystal of CuRhIO2 relaxed with PBEsol at the SCAN level of DFT.

Calculated values
Final energy (Ry/atom): -1.41860
Size of the total moment (μB per cell): 2.789
Energy relative to the elements, uncorrected (meV per atom): 334

Unit cell a=3.704 b=3.704 c=5.707 alpha=90.00 beta=90.00 gamma=90.00
Space group P4/mmm (No. 123)
One atom of each set of equivalent atoms:
Cu 0.000 0.000 0.000
Rh 0.500 0.500 0.500
I 0.000 0.000 0.500
O 0.000 0.500 0.000

---

No. 19
Computed, not measured: a crystal of CuSb2IO relaxed with PBEsol at the SCAN level of DFT.

Calculated values
Final energy (Ry/atom): -1.88793
Size of the total moment (μB per cell): 1.130
Energy relative to the elements, uncorrected (meV per atom): 852

Unit cell a=4.949 b=4.949 c=5.129 alpha=90.00 beta=90.00 gamma=90.00
Space group P4/mmm (No. 123)
One atom of each set of equivalent atoms:
Cu 0.000 0.000 0.000
Sb 0.000 0.500 0.000
I 0.000 0.000 0.500
O 0.500 0.500 0.500

---

No. 20
Computed, not measured: a crystal of SrCuI2O relaxed with PBEsol at the SCAN level of DFT.

Calculated values
Final energy (Ry/atom): -1.74146
Size of the total moment (μB per cell): 0.401
Energy relative to the elements, uncorrected (meV per atom): -256

Unit cell a=6.262 b=6.262 c=4.238 alpha=90.00 beta=90.00 gamma=90.00
Space group P4/mmm (No. 123)
One atom of each set of equivalent atoms:
Sr 0.000 0.000 0.000
Cu 0.500 0.500 0.500
I 0.000 0.500 0.000
O 0.000 0.000 0.500